[1]
Entry from the Alexandria database: a geometry-optimized LaPuMg structure (GGA-PBE).

## Properties
E_form, kJ/mol of formula units: 37
Total magnetization, μB/f.u.: 6.1

Lattice parameters (Å, degrees): 7.8453 7.8453 7.8453 154.70 154.70 36.08
Atoms (fractional coordinates):
La: 0.0000 0.0000 0.0000
Pu: 0.6723 0.6723 0.0000
Mg: 0.3291 0.3291 0.0000

[2]
Entry from the Alexandria database: a geometry-optimized La2MgMoN structure (GGA-PBE).

## Properties
Formation energy (no corrections), meV per atom: -439
Total magnetization, μB/f.u.: 0.0

Lattice parameters (Å, degrees): 5.3172 5.3172 4.0380 90.00 90.00 90.00
Atoms (fractional coordinates):
La: 0.0000 0.5000 0.0000
La: 0.5000 0.0000 0.0000
Mg: 0.0000 0.0000 0.5000
Mo: 0.5000 0.5000 0.5000
N: 0.5000 0.5000 0.0000

[3]
Entry from the Alexandria database: a geometry-optimized TmFe2B structure (GGA-PBE).

## Properties
E_form, kJ/mol of formula units: -60
Total magnetization, μB/f.u.: 2.0

Lattice parameters (Å, degrees): 5.2613 5.2613 5.2613 41.19 41.19 41.19
Atoms (fractional coordinates):
Tm: 0.0000 0.0000 0.0000
Fe: 0.1882 0.1882 0.1882
Fe: 0.8118 0.8118 0.8118
B: 0.5000 0.5000 0.5000

[4]
Entry from the Alexandria database: a geometry-optimized HfTaBeSb2 structure (GGA-PBE).

## Properties
Formation energy (no corrections), meV per atom: 1391
Total magnetization, μB/f.u.: 0.0

Lattice parameters (Å, degrees): 5.3481 5.3481 4.4219 90.00 90.00 90.00
Atoms (fractional coordinates):
Hf: 0.0000 0.0000 0.0000
Ta: 0.5000 0.5000 0.5000
Be: 0.0000 0.0000 0.5000
Sb: 0.0000 0.5000 0.0000
Sb: 0.5000 0.0000 0.0000